CoSiRu2 | GGA-PBE | optimized geometry

Symmetry = R-3m, No. 166

Lattice parameters (Å, degrees): 8.179 8.179 8.179 19.29 19.29 19.29
Element x y z (fractional)
Co (0.750, 0.750, 0.750)
Ru (0.996, 0.996, 0.996)
Ru (0.504, 0.504, 0.504)
Si (0.250, 0.250, 0.250)

Co3SiRu | GGA-PBE | optimized geometry

Symmetry = Pm-3m, No. 221

Lattice parameters (Å, degrees): 4.442 4.442 4.442 90.00 90.00 90.00
Element x y z (fractional)
Co (0.000, 0.500, 0.000)
Co (0.500, 0.000, 0.000)
Co (0.000, 0.000, 0.500)
Si (0.500, 0.500, 0.500)
Ru (0.000, 0.000, 0.000)

Co2SiRu | GGA-PBE | optimized geometry

Symmetry = P4mm, No. 99

Lattice parameters (Å, degrees): 2.862 2.862 5.777 90.00 90.00 90.00
Element x y z (fractional)
Co (0.500, 0.500, 0.235)
Co (0.000, 0.000, 0.986)
Si (0.500, 0.500, 0.764)
Ru (0.000, 0.000, 0.515)

Co2SiRu | GGA-PBE | optimized geometry

Symmetry = R3m, No. 160

Lattice parameters (Å, degrees): 7.998 7.998 7.998 19.26 19.26 19.26
Element x y z (fractional)
Co (0.254, 0.254, 0.254)
Co (0.003, 0.003, 0.003)
Si (0.746, 0.746, 0.746)
Ru (0.496, 0.496, 0.496)

CoSiRu2 | GGA-PBE | optimized geometry

Symmetry = R3m, No. 160

Lattice parameters (Å, degrees): 8.196 8.196 8.196 18.98 18.98 18.98
Element x y z (fractional)
Ru (0.245, 0.245, 0.245)
Ru (0.003, 0.003, 0.003)
Si (0.496, 0.496, 0.496)
Co (0.756, 0.756, 0.756)

CoSiRu2 | GGA-PBE | optimized geometry

Symmetry = P4/mmm, No. 123

Lattice parameters (Å, degrees): 2.889 4.163 4.163 90.00 90.00 90.00
Element x y z (fractional)
Co (0.500, 0.000, 0.500)
Ru (0.000, 0.000, 0.000)
Ru (0.000, 0.500, 0.500)
Si (0.500, 0.500, 0.000)

Co2SiRu | GGA-PBE | optimized geometry

Symmetry = I4/mmm, No. 139

Lattice parameters (Å, degrees): 4.416 4.416 4.416 132.23 132.23 69.86
Element x y z (fractional)
Ru (0.250, 0.750, 0.500)
Co (0.500, 0.500, 0.000)
Co (0.000, 0.000, 0.000)
Si (0.750, 0.250, 0.500)

CoSi4Ru | GGA-PBE | optimized geometry

Symmetry = F-43m, No. 216

Lattice parameters (Å, degrees): 4.775 4.775 4.775 60.00 60.00 60.00
Element x y z (fractional)
Si (0.375, 0.375, 0.375)
Si (0.375, 0.375, 0.875)
Si (0.375, 0.875, 0.375)
Si (0.875, 0.375, 0.375)
Ru (0.000, 0.000, 0.000)
Co (0.750, 0.750, 0.750)

Co2SiRu | GGA-PBE | optimized geometry

Symmetry = Cm, No. 8

Lattice parameters (Å, degrees): 4.351 4.351 4.405 77.10 77.10 35.08
Element x y z (fractional)
Co (0.749, 0.749, 0.755)
Co (0.989, 0.989, 0.009)
Si (0.254, 0.254, 0.223)
Ru (0.508, 0.508, 0.514)

CoSiRu2 | GGA-PBE | optimized geometry

Symmetry = Pmm2, No. 25

Lattice parameters (Å, degrees): 2.719 3.616 5.144 90.00 90.00 90.00
Element x y z (fractional)
Co (0.500, 0.500, 0.748)
Si (0.000, 0.000, 0.509)
Ru (0.500, 0.500, 0.261)
Ru (0.000, 0.000, 0.982)

CoSi2Ru2 | GGA-PBE | optimized geometry

Symmetry = P4/mbm, No. 127

Lattice parameters (Å, degrees): 6.869 6.869 2.850 90.00 90.00 90.00
Element x y z (fractional)
Ru (0.645, 0.145, 0.000)
Ru (0.355, 0.855, 0.000)
Ru (0.145, 0.355, 0.000)
Ru (0.855, 0.645, 0.000)
Co (0.500, 0.500, 0.000)
Co (0.000, 0.000, 0.000)
Si (0.153, 0.653, 0.500)
Si (0.347, 0.153, 0.500)
Si (0.847, 0.347, 0.500)
Si (0.653, 0.847, 0.500)

Co2SiRu | GGA-PBE | optimized geometry

Symmetry = P2/m, No. 10

Lattice parameters (Å, degrees): 3.724 2.628 5.029 72.06 90.00 90.00
Element x y z (fractional)
Co (0.000, 0.595, 0.509)
Co (0.000, 0.905, 0.991)
Si (0.500, 0.750, 0.750)
Ru (0.500, 0.250, 0.250)

Number 1: uncorrected energy -7.81 eV per atom. Number 2: uncorrected energy -5.64 eV per atom. Number 3: uncorrected energy -7.44 eV per atom. Number 4: uncorrected energy -7.25 eV per atom. Number 5: uncorrected energy -7.82 eV per atom. Number 6: uncorrected energy -8.01 eV per atom. Number 7: uncorrected energy -7.43 eV per atom. Number 8: uncorrected energy -5.89 eV per atom. Number 9: uncorrected energy -7.39 eV per atom. Number 10: uncorrected energy -7.89 eV per atom. Number 11: uncorrected energy -7.51 eV per atom. Number 12: uncorrected energy -7.37 eV per atom.